The following is a DFT calculation (GGA+U) of an optimized crystal structure of LiVSiCO7.

The space group is P2_1/m (No. 11) and the conventional cell measures 5.276, 6.343 and 8.356 Å, with angles of 90.00, 96.66 and 90.00 degrees. Symmetry generates all atoms from Li at (0.186, 0.250, 0.097), V at (0.217, 0.750, 0.323), Si at (0.245, 0.250, 0.424), C at (0.362, 0.750, 0.052), O at (0.061, 0.250, 0.568), O at (0.115, 0.750, 0.079), O at (0.196, 0.049, 0.303), O at (0.439, 0.750, 0.918), O at (0.455, 0.750, 0.493) and O at (0.492, 0.250, 0.809).

The calculation puts the density of states at the Fermi level at 0.00 states/eV/atom. The density is 2.5 g/cm³. The calculation puts the energy above the most stable polymorph in this dataset at 0.007 eV per atom.